(1)
Here is CaFeF5 after structural relaxation from the Alexandria database. Energies are from PBE+U.

Cell and atoms, written as POSCAR:
```
CaFeF5
1.0
5.619 -0.003 -0.003
1.784 5.328 -0.003
2.694 1.938 7.007
F Ca Fe
10 2 2
Direct
0.080 0.920 0.250
0.285 0.693 0.970
0.693 0.285 0.470
0.307 0.715 0.530
0.750 0.789 0.119
0.250 0.211 0.881
0.789 0.750 0.619
0.211 0.250 0.381
0.715 0.307 0.030
0.920 0.080 0.750
0.457 0.543 0.250
0.543 0.457 0.750
0.000 0.000 0.500
0.000 0.000 0.000
```

Results
Symmetry: C2/c (15)
DOS at the Fermi energy in states/eV/cell: 0.0
Magnetic moment in μB per atom: 0.7121
E in eV per atom: -5.5388

=====

(2)
Here is Fe2CoIrO6 after structural relaxation from the Alexandria database. Energies are from PBE+U.

Cell and atoms, written as POSCAR:
```
Fe2CoIrO6
1.0
5.001 0.000 0.000
2.501 4.331 0.000
2.500 1.444 4.588
Co O Fe Ir
1 6 2 1
Direct
0.821 0.821 0.537
0.426 0.726 0.743
0.726 0.106 0.743
0.614 0.220 0.264
0.106 0.426 0.743
0.220 0.902 0.264
0.902 0.614 0.264
0.512 0.512 0.466
0.018 0.018 0.945
0.318 0.318 0.047
```

Results
Symmetry: R3 (146)
Magnetic moment in μB per atom: 0.5951
E in eV per atom: -6.4172